# CrCd2Pt (PBE, relaxed)
# Crystal system ... tetragonal
data_CrCd2Pt
_cell_length_a 4.166
_cell_length_b 4.166
_cell_length_c 8.202
_cell_angle_alpha 90.00
_cell_angle_beta 90.00
_cell_angle_gamma 90.00
_symmetry_space_group_name_H-M 'I 4/m m m'
_symmetry_Int_Tables_number 139
_symmetry_space_group_name_Hall '-I 4 2'
loop_
_atom_site_label
_atom_site_type_symbol
_atom_site_fract_x
_atom_site_fract_y
_atom_site_fract_z
_atom_site_occupancy
Cr1 Cr 0.000 0.000 0.000 1
Cd1 Cd 0.000 0.500 0.250 1
Pt1 Pt 0.000 0.000 0.500 1



# CrCd2Pt (PBE, relaxed)
# Crystal system ... tetragonal
data_CrCd2Pt
_cell_length_a 3.069
_cell_length_b 3.069
_cell_length_c 7.707
_cell_angle_alpha 90.00
_cell_angle_beta 90.00
_cell_angle_gamma 90.00
_symmetry_space_group_name_H-M 'P 4/m m m'
_symmetry_Int_Tables_number 123
_symmetry_space_group_name_Hall '-P 4 2'
loop_
_atom_site_label
_atom_site_type_symbol
_atom_site_fract_x
_atom_site_fract_y
_atom_site_fract_z
_atom_site_occupancy
Cr1 Cr 0.000 0.000 0.000 1
Cd1 Cd 0.500 0.500 0.257 1
Pt1 Pt 0.000 0.000 0.500 1



# Cr2CdPt9 (PBE, relaxed)
# Crystal system ... tetragonal
data_Cr2CdPt9
_cell_length_a 3.950
_cell_length_b 3.950
_cell_length_c 11.917
_cell_angle_alpha 90.00
_cell_angle_beta 90.00
_cell_angle_gamma 90.00
_symmetry_space_group_name_H-M 'P 4/m m m'
_symmetry_Int_Tables_number 123
_symmetry_space_group_name_Hall '-P 4 2'
loop_
_atom_site_label
_atom_site_type_symbol
_atom_site_fract_x
_atom_site_fract_y
_atom_site_fract_z
_atom_site_occupancy
Cr1 Cr 0.000 0.000 0.163 1
Cd1 Cd 0.000 0.000 0.500 1
Pt1 Pt 0.000 0.500 0.000 1
Pt2 Pt 0.000 0.500 0.322 1
Pt3 Pt 0.500 0.500 0.162 1
Pt4 Pt 0.500 0.500 0.500 1



# CrCd2Pt (PBE, relaxed)
# Crystal system ... tetragonal
data_CrCd2Pt
_cell_length_a 4.194
_cell_length_b 4.194
_cell_length_c 8.132
_cell_angle_alpha 90.00
_cell_angle_beta 90.00
_cell_angle_gamma 90.00
_symmetry_space_group_name_H-M 'I -4 m 2'
_symmetry_Int_Tables_number 119
_symmetry_space_group_name_Hall 'I -4 -2'
loop_
_atom_site_label
_atom_site_type_symbol
_atom_site_fract_x
_atom_site_fract_y
_atom_site_fract_z
_atom_site_occupancy
Cr1 Cr 0.000 0.000 0.000 1
Cd1 Cd 0.000 0.000 0.500 1
Cd2 Cd 0.000 0.500 0.750 1
Pt1 Pt 0.000 0.500 0.250 1



# CrCd2Pt2 (PBE, relaxed)
# Crystal system ... tetragonal
data_CrCd2Pt2
_cell_length_a 6.768
_cell_length_b 6.768
_cell_length_c 4.085
_cell_angle_alpha 90.00
_cell_angle_beta 90.00
_cell_angle_gamma 90.00
_symmetry_space_group_name_H-M 'P 4/m b m'
_symmetry_Int_Tables_number 127
_symmetry_space_group_name_Hall '-P 4 2ab'
loop_
_atom_site_label
_atom_site_type_symbol
_atom_site_fract_x
_atom_site_fract_y
_atom_site_fract_z
_atom_site_occupancy
Cr1 Cr 0.000 0.000 0.000 1
Cd1 Cd 0.167 0.333 0.500 1
Pt1 Pt 0.138 0.638 0.000 1



# Cr3CdPt (PBE, relaxed)
# Distance to the lowest polymorph of the same formula ... 0.00 eV/f.u.
# Crystal system ... cubic
data_Cr3CdPt
_cell_length_a 4.904
_cell_length_b 4.904
_cell_length_c 4.904
_cell_angle_alpha 90.00
_cell_angle_beta 90.00
_cell_angle_gamma 90.00
_symmetry_space_group_name_H-M 'P m -3 m'
_symmetry_Int_Tables_number 221
_symmetry_space_group_name_Hall '-P 4 2 3'
loop_
_atom_site_label
_atom_site_type_symbol
_atom_site_fract_x
_atom_site_fract_y
_atom_site_fract_z
_atom_site_occupancy
Cr1 Cr 0.000 0.000 0.500 1
Cd1 Cd 0.500 0.500 0.500 1
Pt1 Pt 0.000 0.000 0.000 1



# CrCd2Pt (PBE, relaxed)
# Crystal system ... monoclinic
data_CrCd2Pt
_cell_length_a 2.925
_cell_length_b 4.821
_cell_length_c 5.147
_cell_angle_alpha 90.00
_cell_angle_beta 94.88
_cell_angle_gamma 90.00
_symmetry_space_group_name_H-M 'P 1 2/m 1'
_symmetry_Int_Tables_number 10
_symmetry_space_group_name_Hall '-P 2y'
loop_
_atom_site_label
_atom_site_type_symbol
_atom_site_fract_x
_atom_site_fract_y
_atom_site_fract_z
_atom_site_occupancy
Cr1 Cr 0.000 0.000 0.000 1
Cd1 Cd 0.272 0.500 0.748 1
Pt1 Pt 0.500 0.000 0.500 1



# CrCd2Pt (PBE, relaxed)
# Crystal system ... tetragonal
data_CrCd2Pt
_cell_length_a 7.522
_cell_length_b 7.522
_cell_length_c 5.345
_cell_angle_alpha 90.00
_cell_angle_beta 90.00
_cell_angle_gamma 90.00
_symmetry_space_group_name_H-M 'I -4 2 d'
_symmetry_Int_Tables_number 122
_symmetry_space_group_name_Hall 'I -4 2bw'
loop_
_atom_site_label
_atom_site_type_symbol
_atom_site_fract_x
_atom_site_fract_y
_atom_site_fract_z
_atom_site_occupancy
Cr1 Cr 0.000 0.000 0.000 1
Cd1 Cd 0.249 0.250 0.625 1
Pt1 Pt 0.000 0.000 0.500 1



# CrCd2Pt (PBE, relaxed)
# Crystal system ... trigonal
data_CrCd2Pt
_cell_length_a 2.9738
_cell_length_b 2.9738
_cell_length_c 28.3119
_cell_angle_alpha 90.00
_cell_angle_beta 90.00
_cell_angle_gamma 120.00
_symmetry_space_group_name_H-M 'R 3 m'
_symmetry_Int_Tables_number 160
_symmetry_space_group_name_Hall 'R 3 -2"'
loop_
_atom_site_label
_atom_site_type_symbol
_atom_site_fract_x
_atom_site_fract_y
_atom_site_fract_z
_atom_site_occupancy
Cr1 Cr 0.0000 0.0000 0.0000 1
Cd1 Cd 0.0000 0.0000 0.5127 1
Cd2 Cd 0.0000 0.0000 0.7490 1
Pt1 Pt 0.0000 0.0000 0.2649 1



# CrCd2Pt (PBE, relaxed)
# Crystal system ... cubic
data_CrCd2Pt
_cell_length_a 6.595
_cell_length_b 6.595
_cell_length_c 6.595
_cell_angle_alpha 90.00
_cell_angle_beta 90.00
_cell_angle_gamma 90.00
_symmetry_space_group_name_H-M 'F -4 3 m'
_symmetry_Int_Tables_number 216
_symmetry_space_group_name_Hall 'F -4 2 3'
loop_
_atom_site_label
_atom_site_type_symbol
_atom_site_fract_x
_atom_site_fract_y
_atom_site_fract_z
_atom_site_occupancy
Cr1 Cr 0.000 0.000 0.000 1
Cd1 Cd 0.000 0.000 0.500 1
Cd2 Cd 0.250 0.250 0.250 1
Pt1 Pt 0.250 0.250 0.750 1



# CrCd2Pt (PBE, relaxed)
# Crystal system ... monoclinic
data_CrCd2Pt
_cell_length_a 3.010
_cell_length_b 3.018
_cell_length_c 8.028
_cell_angle_alpha 90.00
_cell_angle_beta 90.21
_cell_angle_gamma 90.00
_symmetry_space_group_name_H-M 'P 1 m 1'
_symmetry_Int_Tables_number 6
_symmetry_space_group_name_Hall 'P -2y'
loop_
_atom_site_label
_atom_site_type_symbol
_atom_site_fract_x
_atom_site_fract_y
_atom_site_fract_z
_atom_site_occupancy
Cr1 Cr 0.000 0.000 0.000 1
Cd1 Cd 0.501 0.500 0.256 1
Cd2 Cd 0.996 0.000 0.554 1
Pt1 Pt 0.497 0.500 0.805 1



# CrCd2Pt (PBE, relaxed)
# Crystal system ... orthorhombic
data_CrCd2Pt
_cell_length_a 5.838
_cell_length_b 8.133
_cell_length_c 3.024
_cell_angle_alpha 90.00
_cell_angle_beta 90.00
_cell_angle_gamma 90.00
_symmetry_space_group_name_H-M 'C m m m'
_symmetry_Int_Tables_number 65
_symmetry_space_group_name_Hall '-C 2 2'
loop_
_atom_site_label
_atom_site_type_symbol
_atom_site_fract_x
_atom_site_fract_y
_atom_site_fract_z
_atom_site_occupancy
Cr1 Cr 0.000 0.000 0.000 1
Cd1 Cd 0.250 0.250 0.500 1
Pt1 Pt 0.000 0.500 0.000 1



# CrCd2Pt (PBE, relaxed)
# Crystal system ... trigonal
data_CrCd2Pt
_cell_length_a 3.0055
_cell_length_b 3.0055
_cell_length_c 27.8947
_cell_angle_alpha 90.00
_cell_angle_beta 90.00
_cell_angle_gamma 120.00
_symmetry_space_group_name_H-M 'R -3 m'
_symmetry_Int_Tables_number 166
_symmetry_space_group_name_Hall '-R 3 2"'
loop_
_atom_site_label
_atom_site_type_symbol
_atom_site_fract_x
_atom_site_fract_y
_atom_site_fract_z
_atom_site_occupancy
Cr1 Cr 0.0000 0.0000 0.0000 1
Cd1 Cd 0.0000 0.0000 0.2490 1
Pt1 Pt 0.0000 0.0000 0.5000 1



# Pu2CrCd (PBE, relaxed)
# Crystal system ... tetragonal
data_Pu2CrCd
_cell_length_a 3.124
_cell_length_b 3.124
_cell_length_c 8.871
_cell_angle_alpha 90.00
_cell_angle_beta 90.00
_cell_angle_gamma 90.00
_symmetry_space_group_name_H-M 'P 4/m m m'
_symmetry_Int_Tables_number 123
_symmetry_space_group_name_Hall '-P 4 2'
loop_
_atom_site_label
_atom_site_type_symbol
_atom_site_fract_x
_atom_site_fract_y
_atom_site_fract_z
_atom_site_occupancy
Pu1 Pu 0.000 0.000 0.209 1
Cr1 Cr 0.500 0.500 0.000 1
Cd1 Cd 0.500 0.500 0.500 1



# Rb3CrCd (PBE, relaxed)
# Distance to the lowest polymorph of the same formula ... 0.00 eV/f.u.
# Crystal system ... cubic
data_Rb3CrCd
_cell_length_a 7.026
_cell_length_b 7.026
_cell_length_c 7.026
_cell_angle_alpha 90.00
_cell_angle_beta 90.00
_cell_angle_gamma 90.00
_symmetry_space_group_name_H-M 'P m -3 m'
_symmetry_Int_Tables_number 221
_symmetry_space_group_name_Hall '-P 4 2 3'
loop_
_atom_site_label
_atom_site_type_symbol
_atom_site_fract_x
_atom_site_fract_y
_atom_site_fract_z
_atom_site_occupancy
Rb1 Rb 0.000 0.000 0.500 1
Cr1 Cr 0.000 0.000 0.000 1
Cd1 Cd 0.500 0.500 0.500 1



# RbCr3Cd (PBE, relaxed)
# Distance to the lowest polymorph of the same formula ... 0.00 eV/f.u.
# Crystal system ... cubic
data_RbCr3Cd
_cell_length_a 5.384
_cell_length_b 5.384
_cell_length_c 5.384
_cell_angle_alpha 90.00
_cell_angle_beta 90.00
_cell_angle_gamma 90.00
_symmetry_space_group_name_H-M 'P m -3 m'
_symmetry_Int_Tables_number 221
_symmetry_space_group_name_Hall '-P 4 2 3'
loop_
_atom_site_label
_atom_site_type_symbol
_atom_site_fract_x
_atom_site_fract_y
_atom_site_fract_z
_atom_site_occupancy
Rb1 Rb 0.000 0.000 0.000 1
Cr1 Cr 0.000 0.500 0.500 1
Cd1 Cd 0.500 0.500 0.500 1



# RbCr2Cd (PBE, relaxed)
# Crystal system ... tetragonal
data_RbCr2Cd
_cell_length_a 5.685
_cell_length_b 5.685
_cell_length_c 19.536
_cell_angle_alpha 90.00
_cell_angle_beta 90.00
_cell_angle_gamma 90.00
_symmetry_space_group_name_H-M 'I 41/a m d'
_symmetry_Int_Tables_number 141
loop_
_symmetry_equiv_pos_as_xyz
'x,y,z'
'-x,-y,-z'
'-y+1/4,x+3/4,z+1/4'
'y+1/4,-x+3/4,-z+1/4'
'-x+1/2,-y,z+1/2'
'x+1/2,y,-z+1/2'
'y+1/4,-x+1/4,z+3/4'
'-y+1/4,x+1/4,-z+3/4'
'x,-y,-z'
'-x,y,z'
'-y+1/4,-x+1/4,-z+3/4'
'y+1/4,x+1/4,z+3/4'
'-x+1/2,y,-z+1/2'
'x+1/2,-y,z+1/2'
'y+1/4,x+3/4,-z+1/4'
'-y+1/4,-x+3/4,z+1/4'
'x+1/2,y+1/2,z+1/2'
'-x+1/2,-y+1/2,-z+1/2'
'-y+3/4,x+1/4,z+3/4'
'y+3/4,-x+1/4,-z+3/4'
'-x,-y+1/2,z'
'x,y+1/2,-z'
'y+3/4,-x+3/4,z+1/4'
'-y+3/4,x+3/4,-z+1/4'
'x+1/2,-y+1/2,-z+1/2'
'-x+1/2,y+1/2,z+1/2'
'-y+3/4,-x+3/4,-z+1/4'
'y+3/4,x+3/4,z+1/4'
'-x,y+1/2,-z'
'x,-y+1/2,z'
'y+3/4,x+1/4,-z+3/4'
'-y+3/4,-x+1/4,z+3/4'
loop_
_atom_site_label
_atom_site_type_symbol
_atom_site_fract_x
_atom_site_fract_y
_atom_site_fract_z
_atom_site_occupancy
Rb1 Rb 0.000 0.250 0.375 1
Cr1 Cr 0.000 0.000 0.000 1
Cd1 Cd 0.000 0.250 0.875 1



# RbCrCd2 (PBE, relaxed)
# Distance to the lowest polymorph of the same formula ... 0.25 eV/f.u.
# Crystal system ... cubic
data_RbCrCd2
_cell_length_a 7.818
_cell_length_b 7.818
_cell_length_c 7.818
_cell_angle_alpha 90.00
_cell_angle_beta 90.00
_cell_angle_gamma 90.00
_symmetry_space_group_name_H-M 'F m -3 m'
_symmetry_Int_Tables_number 225
_symmetry_space_group_name_Hall '-F 4 2 3'
loop_
_atom_site_label
_atom_site_type_symbol
_atom_site_fract_x
_atom_site_fract_y
_atom_site_fract_z
_atom_site_occupancy
Rb1 Rb 0.000 0.000 0.000 1
Cr1 Cr 0.000 0.000 0.500 1
Cd1 Cd 0.250 0.250 0.250 1



# RbCr3Cd (PBE, relaxed)
# Distance to the lowest polymorph of the same formula ... 4.79 eV/f.u.
# Crystal system ... cubic
data_RbCr3Cd
_cell_length_a 6.054
_cell_length_b 6.054
_cell_length_c 6.054
_cell_angle_alpha 90.00
_cell_angle_beta 90.00
_cell_angle_gamma 90.00
_symmetry_space_group_name_H-M 'P m -3 m'
_symmetry_Int_Tables_number 221
_symmetry_space_group_name_Hall '-P 4 2 3'
loop_
_atom_site_label
_atom_site_type_symbol
_atom_site_fract_x
_atom_site_fract_y
_atom_site_fract_z
_atom_site_occupancy
Rb1 Rb 0.000 0.000 0.000 1
Cr1 Cr 0.000 0.000 0.500 1
Cd1 Cd 0.500 0.500 0.500 1



# RbCrCd2 (PBE, relaxed)
# Distance to the lowest polymorph of the same formula ... 0.00 eV/f.u.
# Crystal system ... tetragonal
data_RbCrCd2
_cell_length_a 5.800
_cell_length_b 5.800
_cell_length_c 19.149
_cell_angle_alpha 90.00
_cell_angle_beta 90.00
_cell_angle_gamma 90.00
_symmetry_space_group_name_H-M 'I 41/a m d'
_symmetry_Int_Tables_number 141
loop_
_symmetry_equiv_pos_as_xyz
'x,y,z'
'-x,-y,-z'
'-y+1/4,x+3/4,z+1/4'
'y+1/4,-x+3/4,-z+1/4'
'-x+1/2,-y,z+1/2'
'x+1/2,y,-z+1/2'
'y+1/4,-x+1/4,z+3/4'
'-y+1/4,x+1/4,-z+3/4'
'x,-y,-z'
'-x,y,z'
'-y+1/4,-x+1/4,-z+3/4'
'y+1/4,x+1/4,z+3/4'
'-x+1/2,y,-z+1/2'
'x+1/2,-y,z+1/2'
'y+1/4,x+3/4,-z+1/4'
'-y+1/4,-x+3/4,z+1/4'
'x+1/2,y+1/2,z+1/2'
'-x+1/2,-y+1/2,-z+1/2'
'-y+3/4,x+1/4,z+3/4'
'y+3/4,-x+1/4,-z+3/4'
'-x,-y+1/2,z'
'x,y+1/2,-z'
'y+3/4,-x+3/4,z+1/4'
'-y+3/4,x+3/4,-z+1/4'
'x+1/2,-y+1/2,-z+1/2'
'-x+1/2,y+1/2,z+1/2'
'-y+3/4,-x+3/4,-z+1/4'
'y+3/4,x+3/4,z+1/4'
'-x,y+1/2,-z'
'x,-y+1/2,z'
'y+3/4,x+1/4,-z+3/4'
'-y+3/4,-x+1/4,z+3/4'
loop_
_atom_site_label
_atom_site_type_symbol
_atom_site_fract_x
_atom_site_fract_y
_atom_site_fract_z
_atom_site_occupancy
Rb1 Rb 0.000 0.250 0.375 1
Cr1 Cr 0.000 0.250 0.875 1
Cd1 Cd 0.000 0.000 0.000 1



no.,energy of formation (eV/atom)
1,-0.045
2,0.098
3,-0.251
4,0.010
5,-0.099
6,1.018
7,0.114
8,0.693
9,0.127
10,0.030
11,0.018
12,0.083
13,0.210
14,0.135
15,0.672
16,1.336
17,1.102
18,0.580
19,2.294
20,0.518